! TaBeCo2, relaxed, DFT GGA-PBE; values from VASP
! E_form (eV/atom): 0.033
&SYSTEM
  ibrav = 0, nat = 4, ntyp = 3
/
ATOMIC_SPECIES
Ta 180.95 Ta.upf
Be 9.01 Be.upf
Co 58.93 Co.upf
ATOMIC_POSITIONS crystal
Ta 0.000 0.000 0.000
Be 0.750 0.750 0.750
Co 0.250 0.250 0.250
Co 0.500 0.500 0.500
CELL_PARAMETERS angstrom
0.000 2.887 2.887
2.887 0.000 2.887
2.887 2.887 0.000

! NaLi4Pa3Te8, relaxed, DFT GGA-PBE; values from VASP
! ΔE_f (raw) (eV per atom): -0.8857
&SYSTEM
  ibrav = 0, nat = 16, ntyp = 4
/
ATOMIC_SPECIES
Na 22.99 Na.upf
Li 6.94 Li.upf
Pa 231.04 Pa.upf
Te 127.60 Te.upf
ATOMIC_POSITIONS crystal
Na 0.000 0.000 0.000
Li 0.000 0.000 0.500
Li 0.000 0.500 0.000
Li 0.500 0.000 0.000
Li 0.500 0.500 0.500
Pa 0.000 0.500 0.500
Pa 0.500 0.000 0.500
Pa 0.500 0.500 0.000
Te 0.246 0.246 0.246
Te 0.254 0.744 0.744
Te 0.256 0.256 0.746
Te 0.256 0.746 0.256
Te 0.744 0.254 0.744
Te 0.744 0.744 0.254
Te 0.746 0.256 0.256
Te 0.754 0.754 0.754
CELL_PARAMETERS angstrom
4.347 2.510 7.086
-4.347 2.510 7.086
0.000 -5.020 7.086

! Mg2Tl2CdIn2, relaxed, DFT GGA-PBE; values from VASP
! E_form (eV/atom): 0.025
&SYSTEM
  ibrav = 0, nat = 7, ntyp = 4
/
ATOMIC_SPECIES
Mg 24.30 Mg.upf
Tl 204.38 Tl.upf
Cd 112.41 Cd.upf
In 114.82 In.upf
ATOMIC_POSITIONS crystal
Mg 0.053 0.053 0.345
Mg 0.947 0.947 0.655
Tl 0.341 0.341 0.766
Tl 0.659 0.659 0.234
Cd 0.500 0.500 0.500
In 0.211 0.211 0.081
In 0.789 0.789 0.919
CELL_PARAMETERS angstrom
4.619 -2.839 0.000
4.619 2.839 0.000
-4.160 0.000 6.982

! FeCuRh2, relaxed, DFT GGA-PBE; values from VASP
! E_form (eV/atom): 0.108
&SYSTEM
  ibrav = 0, nat = 4, ntyp = 3
/
ATOMIC_SPECIES
Fe 55.84 Fe.upf
Cu 63.55 Cu.upf
Rh 102.91 Rh.upf
ATOMIC_POSITIONS crystal
Fe 0.000 0.000 0.000
Cu 0.500 0.000 0.500
Rh 0.244 0.500 0.748
Rh 0.756 0.500 0.252
CELL_PARAMETERS angstrom
2.647 0.000 0.000
0.000 4.298 0.000
-0.279 0.000 4.786

Calculated final energy, -29.657 -76.766 -14.142 -26.830 eV for the cell shown (same order as the records).
Calculated size of the total moment, 2.5 4.0 0.0 4.2 μB per formula unit (same order as the records).